Here is a geometry-optimized K2TmThS4 structure from Alexandria via LeMat-Bulk. Energies are from PBE.

Unit cell a=7.041 b=4.043 c=7.777 alpha=90.00 beta=107.27 gamma=90.00
Positions (direct):
K 0.000 0.000 0.000
K 0.500 0.500 0.000
Tm 0.000 0.500 0.500
Th 0.500 0.000 0.500
S 0.228 0.000 0.702
S 0.254 0.500 0.290
S 0.746 0.500 0.710
S 0.772 0.000 0.298

The calculation puts the total magnetization at 0.0 μB per formula unit. For the calculated density, the calculation gives 4.771 g/cm3. The uncorrected formation energy is -14.12 eV/f.u. The density of states at the Fermi level comes out at 4.06 states/eV/f.u.